(1)
! PrY2Sn7 PBE relaxed; values from VASP
! - M_tot (μB per formula unit) = 0.01
! - E (Ry/atom) = -0.377
&SYSTEM
  ibrav = 0, nat = 10, ntyp = 3
/
ATOMIC_SPECIES
Sn 118.71 Sn.upf
Y 88.91 Y.upf
Pr 140.91 Pr.upf
CELL_PARAMETERS angstrom
13.064 0.547 -3.423
-13.106 3.156 0.977
0.861 2.437 3.675
ATOMIC_POSITIONS crystal
Sn 0.500 0.500 0.000
Y 0.690 0.310 0.000
Sn 0.788 0.212 0.500
Sn 0.902 0.098 0.000
Sn 0.599 0.401 0.500
Y 0.310 0.690 0.000
Pr 0.000 0.000 0.500
Sn 0.401 0.599 0.500
Sn 0.098 0.902 0.000
Sn 0.212 0.788 0.500

(2)
! HoEr3As4 PBE relaxed; values from VASP
! - M_tot (μB per formula unit) = 0.00
! - E (Ry/atom) = -0.451
&SYSTEM
  ibrav = 0, nat = 8, ntyp = 3
/
ATOMIC_SPECIES
As 74.92 As.upf
Er 167.26 Er.upf
Ho 164.93 Ho.upf
CELL_PARAMETERS angstrom
-1.588 2.311 -6.486
-5.954 -0.962 3.682
0.197 3.855 1.325
ATOMIC_POSITIONS crystal
As 0.749 0.749 0.500
As 0.250 0.750 0.000
Er 0.000 0.500 0.500
Er 0.500 0.500 0.000
As 0.750 0.250 0.000
Er 0.500 0.000 0.500
As 0.251 0.251 0.500
Ho 0.000 0.000 0.000

(3)
! Cu3Ag PBE relaxed; values from VASP
! - E_form (eV/atom) = 0.0710
&SYSTEM
  ibrav = 0, nat = 8, ntyp = 2
/
ATOMIC_SPECIES
Ag 107.87 Ag.upf
Cu 63.55 Cu.upf
CELL_PARAMETERS angstrom
-3.779 -0.183 0.313
0.358 -1.741 3.301
-0.030 6.647 3.509
ATOMIC_POSITIONS crystal
Ag 0.250 0.000 0.864
Cu 0.750 0.000 0.613
Cu 0.250 0.000 0.387
Cu 0.250 0.500 0.140
Cu 0.750 0.500 0.388
Cu 0.750 0.500 0.860
Ag 0.750 0.000 0.136
Cu 0.250 0.500 0.612

(4)
! FeIr2Pd PBE relaxed; values from VASP
! - E_form (eV/atom) = 0.2723
! - M_tot (μB per formula unit) = 3.69
&SYSTEM
  ibrav = 0, nat = 4, ntyp = 3
/
ATOMIC_SPECIES
Fe 55.84 Fe.upf
Ir 192.22 Ir.upf
Pd 106.42 Pd.upf
CELL_PARAMETERS angstrom
0.000 3.072 3.072
3.072 0.000 3.072
3.072 3.072 0.000
ATOMIC_POSITIONS crystal
Fe 0.250 0.250 0.250
Ir 0.000 0.000 0.000
Ir 0.750 0.750 0.750
Pd 0.500 0.500 0.500

(5)
! SnOsNO PBE relaxed; values from VASP
! - energy above the lowest structure with this stoichiometry (eV/atom) = 0.000
! - M_tot (μB per formula unit) = 0.00
&SYSTEM
  ibrav = 0, nat = 16, ntyp = 4
/
ATOMIC_SPECIES
Sn 118.71 Sn.upf
O 16.00 O.upf
N 14.01 N.upf
Os 190.23 Os.upf
CELL_PARAMETERS angstrom
5.100 0.000 0.000
0.000 8.911 0.000
0.000 0.000 4.908
ATOMIC_POSITIONS crystal
Sn 0.994 0.853 0.480
O 0.107 0.221 0.577
N 0.634 0.365 0.638
Sn 0.494 0.147 0.480
Os 0.495 0.558 0.507
N 0.134 0.635 0.638
O 0.893 0.779 0.077
Os 0.505 0.442 0.007
Sn 0.506 0.853 0.980
Os 0.995 0.442 0.507
Sn 0.006 0.147 0.980
N 0.866 0.365 0.138
Os 0.005 0.558 0.007
O 0.607 0.779 0.577
N 0.366 0.635 0.138
O 0.393 0.221 0.077

(6)
! Y2BeIr2 PBE relaxed; values from VASP
! - M_tot (μB per formula unit) = 0.00
! - E (Ry/atom) = -0.559
&SYSTEM
  ibrav = 0, nat = 10, ntyp = 3
/
ATOMIC_SPECIES
Ir 192.22 Ir.upf
Y 88.91 Y.upf
Be 9.01 Be.upf
CELL_PARAMETERS angstrom
-0.792 0.065 5.667
-3.901 -3.236 2.657
5.461 -4.627 -0.566
ATOMIC_POSITIONS crystal
Ir 0.261 0.995 0.511
Y 0.219 0.487 0.353
Y 0.487 0.219 0.853
Ir 0.995 0.261 0.011
Be 0.092 0.908 0.750
Ir 0.005 0.739 0.989
Y 0.513 0.781 0.147
Be 0.908 0.092 0.250
Ir 0.739 0.005 0.489
Y 0.781 0.513 0.647